1.
LiYNiBi | PBE | optimized geometry

Summary:
VASP energy	-4.860	eV per atom
volume	19.1	Å³ per atom

abc: 6.735 6.735 6.735
angles: 90.00 90.00 90.00
Space group F-43m (No. 216)
One atom of each set of equivalent atoms:
Li (0.000, 0.000, 0.000)
Y (0.250, 0.250, 0.750)
Ni (0.000, 0.000, 0.500)
Bi (0.250, 0.250, 0.250)

=====

2.
GdAsOsO | PBE | optimized geometry

Summary:
VASP energy	-7.474	eV per atom
volume	16.3	Å³ per atom

abc: 4.241 4.227 7.292
angles: 90.00 90.00 90.00
Space group Pmc2_1 (No. 26)
One atom of each set of equivalent atoms:
Gd (0.000, 0.243, 0.000)
As (0.500, 0.250, 0.672)
Os (0.500, 0.245, 0.340)
O (0.000, 0.279, 0.328)

=====

3.
Cs2CuSbCl6 | PBE | optimized geometry

Summary:
VASP energy	-3.317	eV per atom
volume	28.5	Å³ per atom

abc: 10.448 10.448 10.448
angles: 90.00 90.00 90.00
Space group Fm-3m (No. 225)
One atom of each set of equivalent atoms:
Cs (0.250, 0.250, 0.250)
Cu (0.000, 0.000, 0.000)
Sb (0.000, 0.000, 0.500)
Cl (0.000, 0.000, 0.242)

=====

4.
Ta2H | PBE | optimized geometry

Summary:
VASP energy	-9.120	eV per atom
volume	12.8	Å³ per atom

abc: 4.859 3.250 4.907
angles: 90.00 97.11 90.00
Space group Cm (No. 8)
One atom of each set of equivalent atoms:
Ta (0.000, 0.000, 0.000)
Ta (0.036, 0.500, 0.475)
H (0.267, 0.000, 0.736)